# 1
{
  "formula": "CeErGa",
  "functional": "PBE-GGA",
  "state": "relaxed",
  "lattice_angstrom": [[2.3748, 1.3711, 7.9967], [-2.3748, 1.3711, 7.9967], [0.0000, -2.7422, 7.9967]],
  "species": ["Ce", "Ce", "Er", "Er", "Ga", "Ga"],
  "fractional_positions": [[0.1426, 0.1426, 0.1426], [0.8574, 0.8574, 0.8574], [0.2904, 0.2904, 0.2904], [0.7096, 0.7096, 0.7096], [0.4213, 0.4213, 0.4213], [0.5787, 0.5787, 0.5787]],
  "energy_ev_per_atom": -4.77,
  "crystal_system": "trigonal",
  "sg": "R-3m",
  "mass_density_g_cm3": 8.016,
  "ef_ev_per_atom": -0.26
}

---

# 2
{
  "formula": "CsSr2LaRu",
  "functional": "PBE-GGA",
  "state": "relaxed",
  "lattice_angstrom": [[6.4495, 0.0000, 0.0000], [0.0000, 6.4495, 0.0000], [0.0000, 0.0000, 5.2372]],
  "species": ["Cs", "Sr", "Sr", "La", "Ru"],
  "fractional_positions": [[0.0000, 0.0000, 0.0000], [0.0000, 0.5000, 0.5000], [0.5000, 0.0000, 0.5000], [0.5000, 0.5000, 0.0000], [0.5000, 0.5000, 0.5000]],
  "energy_ev_per_atom": -3.54,
  "crystal_system": "tetragonal",
  "sg": "P4/mmm",
  "mass_density_g_cm3": 4.178,
  "ef_ev_per_atom": 0.14
}

---

# 3
{
  "formula": "Li2Ag7Pd2",
  "functional": "PBE-GGA",
  "state": "relaxed",
  "lattice_angstrom": [[5.1176, -4.4811, 0.0000], [5.1176, 4.4811, 0.0000], [-2.0460, 0.0000, 4.1242]],
  "species": ["Li", "Li", "Ag", "Ag", "Ag", "Ag", "Ag", "Ag", "Ag", "Pd", "Pd"],
  "fractional_positions": [[0.1632, 0.1632, 0.1611], [0.8368, 0.8368, 0.8389], [0.0000, 0.0000, 0.5000], [0.1070, 0.5662, 0.3367], [0.3421, 0.3421, 0.8395], [0.4338, 0.8930, 0.6633], [0.5662, 0.1070, 0.3367], [0.6579, 0.6579, 0.1605], [0.8930, 0.4338, 0.6633], [0.2285, 0.7715, 0.0000], [0.7715, 0.2285, 0.0000]],
  "energy_ev_per_atom": -3.18,
  "crystal_system": "monoclinic",
  "sg": "C2/m",
  "mass_density_g_cm3": 8.619,
  "ef_ev_per_atom": -0.07
}

---

# 4
{
  "formula": "CdSb3C",
  "functional": "PBE-GGA",
  "state": "relaxed",
  "lattice_angstrom": [[4.8455, 0.0000, 0.0000], [0.0000, 4.8455, 0.0000], [0.0000, 0.0000, 4.8455]],
  "species": ["Cd", "Sb", "Sb", "Sb", "C"],
  "fractional_positions": [[0.0000, 0.0000, 0.0000], [0.0000, 0.5000, 0.5000], [0.5000, 0.0000, 0.5000], [0.5000, 0.5000, 0.0000], [0.5000, 0.5000, 0.5000]],
  "energy_ev_per_atom": -3.59,
  "crystal_system": "cubic",
  "sg": "Pm-3m",
  "mass_density_g_cm3": 7.148,
  "formation_energy_uncorrected_ev_per_atom": 0.907
}

---

# 5
{
  "formula": "Nd5Y8Pb",
  "functional": "PBE-GGA",
  "state": "relaxed",
  "lattice_angstrom": [[-5.3578, 5.3578, 4.1768], [5.3578, -5.3578, 4.1768], [5.3578, 5.3578, -4.1768]],
  "species": ["Nd", "Nd", "Nd", "Nd", "Nd", "Y", "Y", "Y", "Y", "Y", "Y", "Y", "Y", "Pb"],
  "fractional_positions": [[0.0000, 0.0000, 0.0000], [0.2203, 0.4162, 0.8016], [0.5813, 0.7797, 0.1959], [0.5838, 0.3854, 0.8041], [0.6146, 0.4187, 0.1984], [0.0369, 0.9600, 0.4966], [0.0400, 0.5366, 0.0769], [0.4217, 0.0827, 0.3391], [0.4597, 0.9631, 0.9231], [0.4634, 0.5403, 0.5034], [0.7436, 0.0826, 0.6609], [0.9173, 0.2564, 0.3390], [0.9174, 0.5783, 0.6610], [0.2500, 0.7500, 0.5000]],
  "energy_ev_per_atom": -5.55,
  "crystal_system": "tetragonal",
  "sg": "I-4",
  "mass_density_g_cm3": 5.677,
  "ef_ev_per_atom": 0.11
}

---

# 6
{
  "formula": "TiPdOF2",
  "functional": "PBE-GGA",
  "state": "relaxed",
  "lattice_angstrom": [[4.0427, 0.0000, 0.0000], [0.0000, 4.0427, 0.0000], [0.0000, 0.0000, 3.8187]],
  "species": ["Ti", "Pd", "O", "F", "F"],
  "fractional_positions": [[0.0000, 0.0000, 0.0000], [0.5000, 0.5000, 0.5000], [0.0000, 0.0000, 0.5000], [0.0000, 0.5000, 0.0000], [0.5000, 0.0000, 0.0000]],
  "energy_ev_per_atom": -6.31,
  "crystal_system": "tetragonal",
  "sg": "P4/mmm",
  "mass_density_g_cm3": 5.542,
  "formation_energy_uncorrected_ev_per_atom": -1.953
}

---

# 7
{
  "formula": "KTl3Cl",
  "functional": "PBE-GGA",
  "state": "relaxed",
  "lattice_angstrom": [[6.4224, 0.0000, 0.0000], [0.0000, 6.4224, 0.0000], [0.0000, 0.0000, 6.4224]],
  "species": ["K", "Tl", "Tl", "Tl", "Cl"],
  "fractional_positions": [[0.0000, 0.0000, 0.0000], [0.0000, 0.0000, 0.5000], [0.0000, 0.5000, 0.0000], [0.5000, 0.0000, 0.0000], [0.5000, 0.5000, 0.5000]],
  "energy_ev_per_atom": -1.67,
  "crystal_system": "cubic",
  "sg": "Pm-3m",
  "mass_density_g_cm3": 4.311,
  "formation_energy_uncorrected_ev_per_atom": 0.339
}

---

# 8
{
  "formula": "Hf5ZrNi3",
  "functional": "PBE-GGA",
  "state": "relaxed",
  "lattice_angstrom": [[4.9340, -3.9833, 0.0000], [4.9340, 3.9833, 0.0000], [-2.4246, 0.0000, 9.3079]],
  "species": ["Hf", "Hf", "Hf", "Hf", "Hf", "Hf", "Hf", "Hf", "Hf", "Hf", "Zr", "Zr", "Ni", "Ni", "Ni", "Ni", "Ni", "Ni"],
  "fractional_positions": [[0.0240, 0.0240, 0.3273], [0.0974, 0.5034, 0.3585], [0.1848, 0.8152, 0.0000], [0.2422, 0.2422, 0.8890], [0.4966, 0.9026, 0.6415], [0.5034, 0.0974, 0.3585], [0.7578, 0.7578, 0.1110], [0.8152, 0.1848, 0.0000], [0.9026, 0.4966, 0.6415], [0.9760, 0.9760, 0.6727], [0.4748, 0.4748, 0.7415], [0.5252, 0.5252, 0.2585], [0.2118, 0.2118, 0.5684], [0.2167, 0.2167, 0.1478], [0.5000, 0.5000, 0.0000], [0.5000, 0.5000, 0.5000], [0.7833, 0.7833, 0.8522], [0.7882, 0.7882, 0.4316]],
  "energy_ev_per_atom": -8.34,
  "crystal_system": "monoclinic",
  "sg": "C2/m",
  "mass_density_g_cm3": 10.527,
  "ef_ev_per_atom": 0.07
}

---

# 9
{
  "formula": "LaHoSb",
  "functional": "PBE-GGA",
  "state": "relaxed",
  "lattice_angstrom": [[5.1389, 0.0000, 0.0000], [-2.5695, 4.4504, 0.0000], [0.0000, 0.0000, 4.1828]],
  "species": ["La", "Ho", "Sb"],
  "fractional_positions": [[0.0000, 0.0000, 0.0000], [0.3333, 0.6667, 0.5144], [0.6667, 0.3333, 0.4087]],
  "energy_ev_per_atom": -5.06,
  "crystal_system": "trigonal",
  "sg": "P3m1",
  "mass_density_g_cm3": 7.388,
  "formation_energy_uncorrected_ev_per_atom": -0.514
}

---

# 10
{
  "formula": "TlPb",
  "functional": "PBE-GGA",
  "state": "relaxed",
  "lattice_angstrom": [[8.5993, 0.0000, 0.0000], [0.0000, 8.5993, 0.0000], [0.0000, 0.0000, 8.5993]],
  "species": ["Tl", "Tl", "Tl", "Tl", "Tl", "Tl", "Pb", "Pb", "Pb", "Pb", "Pb", "Pb"],
  "fractional_positions": [[0.0000, 0.2500, 0.5000], [0.0000, 0.7500, 0.5000], [0.2500, 0.5000, 0.0000], [0.5000, 0.0000, 0.2500], [0.5000, 0.0000, 0.7500], [0.7500, 0.5000, 0.0000], [0.0000, 0.5000, 0.2500], [0.0000, 0.5000, 0.7500], [0.2500, 0.0000, 0.5000], [0.5000, 0.2500, 0.0000], [0.5000, 0.7500, 0.0000], [0.7500, 0.0000, 0.5000]],
  "energy_ev_per_atom": -2.59,
  "crystal_system": "cubic",
  "sg": "Pm-3n",
  "mass_density_g_cm3": 6.449,
  "ef_ev_per_atom": 0.44
}

---

# 11
{
  "formula": "Na2BSb2",
  "functional": "PBE-GGA",
  "state": "relaxed",
  "lattice_angstrom": [[9.1534, 0.0000, 0.0000], [0.0000, 9.1534, 0.0000], [0.0000, 0.0000, 3.1038]],
  "species": ["Na", "Na", "Na", "Na", "B", "B", "Sb", "Sb", "Sb", "Sb"],
  "fractional_positions": [[0.1199, 0.3801, 0.0000], [0.3801, 0.8801, 0.0000], [0.6199, 0.1199, 0.0000], [0.8801, 0.6199, 0.0000], [0.0000, 0.0000, 0.0000], [0.5000, 0.5000, 0.0000], [0.1799, 0.6799, 0.5000], [0.3201, 0.1799, 0.5000], [0.6799, 0.8201, 0.5000], [0.8201, 0.3201, 0.5000]],
  "energy_ev_per_atom": -2.70,
  "crystal_system": "tetragonal",
  "sg": "P4/mbm",
  "mass_density_g_cm3": 3.835,
  "formation_energy_uncorrected_ev_per_atom": 0.808
}

---

# 12
{
  "formula": "AsBr2Cl",
  "functional": "PBE-GGA",
  "state": "relaxed",
  "lattice_angstrom": [[1.9567, -4.7399, 0.0000], [1.9567, 4.7399, 0.0000], [0.0000, 0.0000, 8.1114]],
  "species": ["As", "Br", "Br", "Cl"],
  "fractional_positions": [[0.0000, 0.0000, 0.0000], [0.5000, 0.5000, 0.2167], [0.5000, 0.5000, 0.7833], [0.0000, 0.0000, 0.5000]],
  "energy_ev_per_atom": -2.31,
  "crystal_system": "orthorhombic",
  "sg": "Cmmm",
  "mass_density_g_cm3": 2.982,
  "formation_energy_uncorrected_ev_per_atom": 0.154
}

---

Copy entry 12 word for word.
{
  "formula": "AsBr2Cl",
  "functional": "PBE-GGA",
  "state": "relaxed",
  "lattice_angstrom": [[1.9567, -4.7399, 0.0000], [1.9567, 4.7399, 0.0000], [0.0000, 0.0000, 8.1114]],
  "species": ["As", "Br", "Br", "Cl"],
  "fractional_positions": [[0.0000, 0.0000, 0.0000], [0.5000, 0.5000, 0.2167], [0.5000, 0.5000, 0.7833], [0.0000, 0.0000, 0.5000]],
  "energy_ev_per_atom": -2.31,
  "crystal_system": "orthorhombic",
  "sg": "Cmmm",
  "mass_density_g_cm3": 2.982,
  "formation_energy_uncorrected_ev_per_atom": 0.154
}

---

Please write out number 8 again, unchanged.
{
  "formula": "Hf5ZrNi3",
  "functional": "PBE-GGA",
  "state": "relaxed",
  "lattice_angstrom": [[4.9340, -3.9833, 0.0000], [4.9340, 3.9833, 0.0000], [-2.4246, 0.0000, 9.3079]],
  "species": ["Hf", "Hf", "Hf", "Hf", "Hf", "Hf", "Hf", "Hf", "Hf", "Hf", "Zr", "Zr", "Ni", "Ni", "Ni", "Ni", "Ni", "Ni"],
  "fractional_positions": [[0.0240, 0.0240, 0.3273], [0.0974, 0.5034, 0.3585], [0.1848, 0.8152, 0.0000], [0.2422, 0.2422, 0.8890], [0.4966, 0.9026, 0.6415], [0.5034, 0.0974, 0.3585], [0.7578, 0.7578, 0.1110], [0.8152, 0.1848, 0.0000], [0.9026, 0.4966, 0.6415], [0.9760, 0.9760, 0.6727], [0.4748, 0.4748, 0.7415], [0.5252, 0.5252, 0.2585], [0.2118, 0.2118, 0.5684], [0.2167, 0.2167, 0.1478], [0.5000, 0.5000, 0.0000], [0.5000, 0.5000, 0.5000], [0.7833, 0.7833, 0.8522], [0.7882, 0.7882, 0.4316]],
  "energy_ev_per_atom": -8.34,
  "crystal_system": "monoclinic",
  "sg": "C2/m",
  "mass_density_g_cm3": 10.527,
  "ef_ev_per_atom": 0.07
}